## Sc2HPt (PBE)

Data for a relaxed structure of Sc2HPt.

The structure in extended XYZ format:
```
4
Lattice="1.5377 0.8878 7.6672 -1.5377 0.8878 7.6672 0.0000 -1.7756 7.6672" Properties=species:S:1:pos:R:3 pbc="T T T"
Sc 0.0000 0.0000 2.5616
Sc 0.0000 0.0000 20.4399
H 0.0000 0.0000 11.5007
Pt 0.0000 0.0000 0.0000
```

- ΔE to the lowest computed polymorph: 540 meV/atom
- Total DFT energy (no corrections): -5.720 eV/atom
- Magnetization: 0.0 μB/f.u.

## CoC3I (PBE)

Data for a relaxed structure of CoC3I.

The structure in extended XYZ format:
```
5
Lattice="4.1080 0.0000 0.0000 0.0000 4.1080 0.0000 0.0000 0.0000 4.1080" Properties=species:S:1:pos:R:3 pbc="T T T"
Co 0.0000 0.0000 0.0000
C 0.0000 2.0540 2.0540
C 2.0540 0.0000 2.0540
C 2.0540 2.0540 0.0000
I 2.0540 2.0540 2.0540
```

- ΔE to the lowest computed polymorph: 1330 meV/atom
- Total DFT energy (no corrections): -3.579 eV/atom
- Magnetization: 1.1 μB/f.u.

## TePtSI2 (PBE)

Data for a relaxed structure of TePtSI2.

The structure in extended XYZ format:
```
5
Lattice="5.5382 0.0000 0.0000 0.0000 5.5382 0.0000 0.0000 0.0000 5.2169" Properties=species:S:1:pos:R:3 pbc="T T T"
Te 0.0000 0.0000 0.0000
Pt 0.0000 0.0000 2.6085
S 2.7691 2.7691 0.0000
I 0.0000 2.7691 2.6085
I 2.7691 0.0000 2.6085
```

- ΔE to the lowest computed polymorph: 0 meV/atom
- Total DFT energy (no corrections): -2.656 eV/atom
- Magnetization: 1.5 μB/f.u.

## CdIn2Au (PBE)

Data for a relaxed structure of CdIn2Au.

The structure in extended XYZ format:
```
4
Lattice="-1.6388 2.3260 6.4967 1.6388 -2.3260 6.4967 1.6388 2.3260 -6.4967" Properties=species:S:1:pos:R:3 pbc="T T T"
Cd 0.0000 0.0000 0.0000
In 1.6388 0.0000 4.0016
In 0.0000 2.3260 2.4952
Au 0.0000 0.0000 6.4967
```

- Total DFT energy (no corrections): -2.488 eV/atom
- Magnetization: 0.0 μB/f.u.